1.
HoSn2HgTe4 (PBE, optimized geometry); uncorrected formation energy = -0.506 eV per atom; magnetic moment = 0.0 Bohr magnetons per cell; space-group type = No. 10
1.0
7.803 0.000 0.000
0.000 4.415 0.000
-2.711 0.000 7.467
Ho Sn Hg Te
1 2 1 4
Cartesian
0.000 0.000 0.000
2.546 0.000 3.734
3.902 2.208 0.000
-1.355 2.208 3.734
-0.160 0.000 5.657
1.287 2.208 1.749
3.805 2.208 5.718
5.253 0.000 1.810

2.
HoTlSnHg (PBE, optimized geometry); magnetic moment = 0.0 Bohr magnetons per cell; space-group type = No. 216; DFT total energy = -0.2201 Ry per atom
1.0
7.590 0.000 0.000
0.000 7.590 0.000
0.000 0.000 7.590
Ho Tl Sn Hg
4 4 4 4
Cartesian
0.000 0.000 0.000
0.000 3.795 3.795
3.795 0.000 3.795
3.795 3.795 0.000
0.000 0.000 3.795
0.000 3.795 0.000
3.795 0.000 0.000
3.795 3.795 3.795
1.897 1.897 1.897
1.897 5.692 5.692
5.692 1.897 5.692
5.692 5.692 1.897
1.897 1.897 5.692
1.897 5.692 1.897
5.692 1.897 1.897
5.692 5.692 5.692

3.
HoZnSnHg (PBE, optimized geometry); magnetic moment = 0.0 Bohr magnetons per cell; distance to the lowest polymorph of the same formula = 180 meV/atom; space-group type = No. 216
1.0
7.198 0.000 0.000
0.000 7.198 0.000
0.000 0.000 7.198
Ho Zn Sn Hg
4 4 4 4
Cartesian
0.000 0.000 0.000
0.000 3.599 3.599
3.599 0.000 3.599
3.599 3.599 0.000
1.800 1.800 5.399
1.800 5.399 1.800
5.399 1.800 1.800
5.399 5.399 5.399
0.000 0.000 3.599
0.000 3.599 0.000
3.599 0.000 0.000
3.599 3.599 3.599
1.800 1.800 1.800
1.800 5.399 5.399
5.399 1.800 5.399
5.399 5.399 1.800

4.
HoZnSnHg (PBE, optimized geometry); magnetic moment = 0.0 Bohr magnetons per cell; distance to the lowest polymorph of the same formula = 0 meV/atom; space-group type = No. 47
1.0
4.374 0.000 0.000
0.000 4.425 0.000
0.000 0.000 4.652
Ho Zn Sn Hg
1 1 1 1
Cartesian
0.000 0.000 0.000
0.000 2.212 2.326
2.187 2.212 0.000
2.187 0.000 2.326

5.
SrHo2Hg (PBE, optimized geometry); magnetic moment = 0.0 Bohr magnetons per cell; distance to the lowest polymorph of the same formula = 0 meV/atom; space-group type = No. 123
1.0
3.766 0.000 0.000
0.000 3.766 0.000
0.000 0.000 9.453
Sr Ho Hg
1 2 1
Cartesian
0.000 0.000 0.000
1.883 1.883 2.984
1.883 1.883 6.469
0.000 0.000 4.726

6.
SrHo2Hg (PBE, optimized geometry); magnetic moment = 0.0 Bohr magnetons per cell; distance to the lowest polymorph of the same formula = 185 meV/atom; space-group type = No. 166
1.0
3.714 0.000 0.000
-1.857 3.216 0.000
0.000 0.000 34.794
Sr Ho Hg
3 6 3
Cartesian
0.000 0.000 0.000
0.000 2.144 23.196
1.857 1.072 11.598
0.000 0.000 3.549
0.000 0.000 31.245
0.000 2.144 19.647
0.000 2.144 26.745
1.857 1.072 8.049
1.857 1.072 15.147
0.000 0.000 17.397
0.000 2.144 5.799
1.857 1.072 28.995

7.
Sr2HoHg (PBE, optimized geometry); magnetic moment = 0.7 Bohr magnetons per cell; distance to the lowest polymorph of the same formula = 0 meV/atom; space-group type = No. 123
1.0
3.848 0.000 0.000
0.000 3.848 0.000
0.000 0.000 9.915
Sr Ho Hg
2 1 1
Cartesian
0.000 0.000 2.088
0.000 0.000 7.827
1.924 1.924 4.957
1.924 1.924 0.000

8.
Sr3HoHg12 (PBE, optimized geometry); magnetic moment = 0.0 Bohr magnetons per cell; space-group type = No. 123; DFT total energy = -0.0872 Ry per atom
1.0
4.803 0.000 0.000
0.000 4.803 0.000
0.000 0.000 19.101
Sr Ho Hg
3 1 12
Cartesian
0.000 0.000 0.000
0.000 0.000 4.906
0.000 0.000 14.195
0.000 0.000 9.551
0.000 2.401 2.453
0.000 2.401 7.387
0.000 2.401 11.714
0.000 2.401 16.648
2.401 0.000 2.453
2.401 0.000 7.387
2.401 0.000 11.714
2.401 0.000 16.648
2.401 2.401 0.000
2.401 2.401 4.958
2.401 2.401 9.551
2.401 2.401 14.143

9.
Sr2HoHg6 (PBE, optimized geometry); magnetic moment = 0.0 Bohr magnetons per cell; space-group type = No. 164; DFT total energy = -0.1079 Ry per atom
1.0
6.918 0.000 0.000
-3.459 5.991 0.000
0.000 0.000 6.341
Sr Ho Hg
2 1 6
Cartesian
0.000 3.994 2.174
3.459 1.997 4.167
0.000 0.000 3.171
0.000 2.187 5.227
-1.565 4.898 5.227
1.894 1.093 1.114
1.565 4.898 5.227
5.024 1.093 1.114
3.459 3.805 1.114

10.
SrHo2Hg6 (PBE, optimized geometry); magnetic moment = 0.0 Bohr magnetons per cell; space-group type = No. 12; DFT total energy = -0.1315 Ry per atom
1.0
7.775 -4.204 0.000
7.775 4.204 0.000
-0.882 0.000 3.619
Sr Ho Hg
1 2 6
Cartesian
0.000 0.000 0.000
4.761 0.000 3.097
9.908 0.000 0.523
4.760 2.711 1.182
7.334 1.438 1.810
9.908 2.711 2.437
4.760 -2.711 1.182
7.334 -1.438 1.810
9.908 -2.711 2.437

11.
Sr4HoHg5 (PBE, optimized geometry); magnetic moment = 0.0 Bohr magnetons per cell; space-group type = No. 123; DFT total energy = -0.1320 Ry per atom
1.0
3.914 0.000 0.000
0.000 3.914 0.000
0.000 0.000 19.879
Sr Ho Hg
4 1 5
Cartesian
0.000 0.000 2.053
0.000 0.000 6.145
0.000 0.000 13.734
0.000 0.000 17.826
0.000 0.000 9.940
1.957 1.957 0.000
1.957 1.957 4.086
1.957 1.957 8.271
1.957 1.957 11.608
1.957 1.957 15.793

12.
Sr2HoHg4 (PBE, optimized geometry); magnetic moment = 0.0 Bohr magnetons per cell; space-group type = No. 139; DFT total energy = -0.1240 Ry per atom
1.0
5.496 0.000 0.000
0.000 5.496 0.000
0.000 0.000 14.340
Sr Ho Hg
4 2 8
Cartesian
0.000 0.000 3.358
0.000 0.000 10.982
2.748 2.748 3.812
2.748 2.748 10.528
0.000 0.000 7.170
2.748 2.748 0.000
0.000 2.748 1.540
0.000 2.748 5.630
0.000 2.748 8.710
0.000 2.748 12.800
2.748 0.000 1.540
2.748 0.000 5.630
2.748 0.000 8.710
2.748 0.000 12.800

> Among the records above, which one has the highest magnetic moment?

Sr2HoHg

> Which value of magnetic moment does entry 5 give?

0.0 Bohr magnetons per cell

Copy entry 9 word for word.
Sr2HoHg6 (PBE, optimized geometry); magnetic moment = 0.0 Bohr magnetons per cell; space-group type = No. 164; DFT total energy = -0.1079 Ry per atom
1.0
6.918 0.000 0.000
-3.459 5.991 0.000
0.000 0.000 6.341
Sr Ho Hg
2 1 6
Cartesian
0.000 3.994 2.174
3.459 1.997 4.167
0.000 0.000 3.171
0.000 2.187 5.227
-1.565 4.898 5.227
1.894 1.093 1.114
1.565 4.898 5.227
5.024 1.093 1.114
3.459 3.805 1.114

> Look up the magnetic moment of the twelfth one.

0.0 Bohr magnetons per cell